{"formula": "YAl3Fe", "functional": "GGA-PBE", "state": "optimized geometry", "lattice": [[-2.845, -0.746, -3.414], [-0.847, -4.124, 1.607], [-3.391, 1.657, 2.463]], "species": ["Y", "Al", "Al", "Al", "Fe"], "fractional_positions": [[0.500, 0.500, 0.500], [0.500, 0.000, 0.000], [0.000, 0.000, 0.500], [0.000, 0.500, 0.000], [0.000, 0.000, 0.000]], "rho_g_cm3": 4.1, "e_form_ev_per_fu": -1.55, "final_energy_ev_per_atom": -5.542, "space_group": "No. 221"}

{"formula": "Tb2DyF", "functional": "GGA-PBE", "state": "optimized geometry", "lattice": [[3.690, 0.000, 0.000], [1.845, 3.196, 0.000], [1.845, 1.065, 8.470]], "species": ["Tb", "Tb", "F", "Dy"], "fractional_positions": [[0.723, 0.723, 0.831], [0.277, 0.277, 0.169], [0.000, 0.000, 0.000], [0.500, 0.500, 0.500]], "rho_g_cm3": 8.3, "raw_formation_energy_ev_per_atom": -1.14, "final_energy_ev_per_atom": -5.075, "space_group": "No. 166"}